A plane-wave DFT calculation with PBEsol was carried out for a relaxed HfMgSb2Te crystal.

The structure in CIF format:
```
data_HfMgSb2Te
_chemical_formula_sum 'Hf1 Mg1 Sb2 Te1'
_space_group_name_H-M_alt 'P 4/m m m'
_space_group_IT_number 123
_space_group_name_Hall '-P 4 2'
_cell_length_a 5.138
_cell_length_b 5.138
_cell_length_c 5.315
_cell_angle_alpha 90.00
_cell_angle_beta 90.00
_cell_angle_gamma 90.00
loop_
_atom_site_label
_atom_site_type_symbol
_atom_site_fract_x
_atom_site_fract_y
_atom_site_fract_z
Hf1 Hf 0.000 0.000 0.000
Mg1 Mg 0.500 0.500 0.500
Sb1 Sb 0.000 0.500 0.500
Te1 Te 0.500 0.500 0.000
```

- N(E_F): 1.112 states/eV/atom
- Crystal system: tetragonal
- Formation energy from raw total energies: 751 meV/atom

***

A plane-wave DFT calculation with PBEsol was carried out for a relaxed HfMg2Sc2 crystal.

The structure in CIF format:
```
data_HfMg2Sc2
_chemical_formula_sum 'Hf2 Mg4 Sc4'
_space_group_name_H-M_alt 'I 4/m m m'
_space_group_IT_number 139
_space_group_name_Hall '-I 4 2'
_cell_length_a 3.970
_cell_length_b 3.970
_cell_length_c 14.586
_cell_angle_alpha 90.00
_cell_angle_beta 90.00
_cell_angle_gamma 90.00
loop_
_atom_site_label
_atom_site_type_symbol
_atom_site_fract_x
_atom_site_fract_y
_atom_site_fract_z
Hf1 Hf 0.000 0.000 0.000
Mg1 Mg 0.000 0.000 0.406
Sc1 Sc 0.000 0.500 0.250
```

- Formation energy from the elements: 252 kJ/mol of formula units
- N(E_F): 1.717 states/eV/atom
- Crystal system: tetragonal

***

A plane-wave DFT calculation with PBEsol was carried out for a relaxed HfMg3Sc crystal.

The structure in CIF format:
```
data_HfMg3Sc
_chemical_formula_sum 'Hf1 Mg3 Sc1'
_space_group_name_H-M_alt 'P m -3 m'
_space_group_IT_number 221
_space_group_name_Hall '-P 4 2 3'
_cell_length_a 5.015
_cell_length_b 5.015
_cell_length_c 5.015
_cell_angle_alpha 90.00
_cell_angle_beta 90.00
_cell_angle_gamma 90.00
loop_
_atom_site_label
_atom_site_type_symbol
_atom_site_fract_x
_atom_site_fract_y
_atom_site_fract_z
Hf1 Hf 0.000 0.000 0.000
Mg1 Mg 0.000 0.500 0.500
Sc1 Sc 0.500 0.500 0.500
```

- Formation energy from the elements: 609 kJ/mol of formula units
- N(E_F): 0.942 states/eV/atom
- Crystal system: cubic

***

A plane-wave DFT calculation with PBEsol was carried out for a relaxed HfMgSn3 crystal.

The structure in CIF format:
```
data_HfMgSn3
_chemical_formula_sum 'Hf1 Mg1 Sn3'
_space_group_name_H-M_alt 'P m -3 m'
_space_group_IT_number 221
_space_group_name_Hall '-P 4 2 3'
_cell_length_a 5.169
_cell_length_b 5.169
_cell_length_c 5.169
_cell_angle_alpha 90.00
_cell_angle_beta 90.00
_cell_angle_gamma 90.00
loop_
_atom_site_label
_atom_site_type_symbol
_atom_site_fract_x
_atom_site_fract_y
_atom_site_fract_z
Hf1 Hf 0.000 0.000 0.000
Mg1 Mg 0.500 0.500 0.500
Sn1 Sn 0.000 0.500 0.500
```

- Formation energy from the elements: 393 kJ/mol of formula units
- N(E_F): 0.615 states/eV/atom
- Crystal system: cubic

***

A plane-wave DFT calculation with PBEsol was carried out for a relaxed Sr3HfMg crystal.

The structure in CIF format:
```
data_Sr3HfMg
_chemical_formula_sum 'Sr3 Hf1 Mg1'
_space_group_name_H-M_alt 'P m -3 m'
_space_group_IT_number 221
_space_group_name_Hall '-P 4 2 3'
_cell_length_a 6.082
_cell_length_b 6.082
_cell_length_c 6.082
_cell_angle_alpha 90.00
_cell_angle_beta 90.00
_cell_angle_gamma 90.00
loop_
_atom_site_label
_atom_site_type_symbol
_atom_site_fract_x
_atom_site_fract_y
_atom_site_fract_z
Sr1 Sr 0.000 0.000 0.500
Hf1 Hf 0.500 0.500 0.500
Mg1 Mg 0.000 0.000 0.000
```

- Formation energy from the elements: 499 kJ/mol of formula units
- N(E_F): 1.326 states/eV/atom
- Crystal system: cubic

***

A plane-wave DFT calculation with PBEsol was carried out for a relaxed SrHfMg3 crystal.

The structure in CIF format:
```
data_SrHfMg3
_chemical_formula_sum 'Sr1 Hf1 Mg3'
_space_group_name_H-M_alt 'P m -3 m'
_space_group_IT_number 221
_space_group_name_Hall '-P 4 2 3'
_cell_length_a 5.531
_cell_length_b 5.531
_cell_length_c 5.531
_cell_angle_alpha 90.00
_cell_angle_beta 90.00
_cell_angle_gamma 90.00
loop_
_atom_site_label
_atom_site_type_symbol
_atom_site_fract_x
_atom_site_fract_y
_atom_site_fract_z
Sr1 Sr 0.000 0.000 0.000
Hf1 Hf 0.500 0.500 0.500
Mg1 Mg 0.000 0.500 0.500
```

- Formation energy from the elements: 367 kJ/mol of formula units
- N(E_F): 1.425 states/eV/atom
- Crystal system: cubic

***

Which value of N(E_F) does entry 6 give?
1.425 states/eV/atom

***

The lowest N(E_F) belongs to which entry?
HfMgSn3

***

Look up the N(E_F) of the fourth one.
0.615 states/eV/atom